# 1
Density functional theory data (GGA-PBE) for a relaxed Ta2CdCo crystal.

Values from the calculation:
calculated density: 13.0 Mg/m³
energy of formation: 1.87 eV/f.u.

Cell lengths 4.5874, 4.5874, 4.5874 Å; angles 60.00, 60.00, 60.00 degrees
Last column: magnetic moment on the atom in μB.
Fractional coordinates of all 4 atoms:
Ta (0.0000, 0.0000, 0.0000)  0.31
Ta (0.7500, 0.7500, 0.7500)  0.89
Co (0.2500, 0.2500, 0.2500)  1.20
Cd (0.5000, 0.5000, 0.5000)  0.01

=====

# 2
Density functional theory data (GGA-PBE) for a relaxed TaCdCo2 crystal.

Values from the calculation:
calculated density: 10.9 Mg/m³
energy of formation: 0.81 eV/f.u.

Cell lengths 8.1825, 8.1825, 8.1825 Å; angles 21.19, 21.19, 21.19 degrees
Last column: magnetic moment on the atom in μB.
Fractional coordinates of all 4 atoms:
Co (0.9914, 0.9914, 0.9914)  0.61
Cd (0.7500, 0.7500, 0.7500)  -0.01
Ta (0.2500, 0.2500, 0.2500)  -0.08
Co (0.5086, 0.5086, 0.5086)  0.61

=====

# 3
Density functional theory data (GGA-PBE) for a relaxed Ta2CdCo crystal.

Values from the calculation:
calculated density: 12.3 Mg/m³
energy of formation: 3.26 eV/f.u.

Cell lengths 3.8398, 3.8398, 10.1679 Å; angles 79.12, 79.12, 90.00 degrees
Fractional coordinates of all 8 atoms:
Cd (0.7500, 0.2500, 0.5000)
Ta (0.3750, 0.3833, 0.7500)
Cd (0.0000, 0.0000, 0.0000)
Ta (0.1333, 0.6250, 0.2500)
Co (0.5000, 0.5000, 0.0000)
Ta (0.8750, 0.8667, 0.7500)
Co (0.2500, 0.7500, 0.5000)
Ta (0.6167, 0.1250, 0.2500)

=====

# 4
Density functional theory data (GGA-PBE) for a relaxed TaCdCo2 crystal.

Values from the calculation:
calculated density: 11.8 Mg/m³
energy of formation: 0.75 eV/f.u.

Cell lengths 5.0485, 5.0485, 5.0485 Å; angles 140.37, 134.38, 61.99 degrees
Fractional coordinates of all 4 atoms:
Co (0.2652, 0.7652, 0.5000)
Ta (0.4867, 0.4867, 0.0000)
Co (0.0010, 0.0010, 0.0000)
Cd (0.7471, 0.2471, 0.5000)

=====

# 5
Density functional theory data (GGA-PBE) for a relaxed Ta2CdCo crystal.

Values from the calculation:
calculated density: 13.2 Mg/m³
energy of formation: 1.54 eV/f.u.

Cell lengths 5.1073, 5.1073, 5.1073 Å; angles 134.23, 134.23, 66.74 degrees
Last column: magnetic moment on the atom in μB.
Fractional coordinates of all 4 atoms:
Ta (0.0000, 0.0000, 0.0000)  0.18
Co (0.7500, 0.2500, 0.5000)  1.12
Cd (0.5000, 0.5000, 0.0000)  0.01
Ta (0.2500, 0.7500, 0.5000)  0.22

=====

# 6
Density functional theory data (GGA-PBE) for a relaxed TaCdCo2 crystal.

Values from the calculation:
calculated density: 11.5 Mg/m³
energy of formation: -0.19 eV/f.u.

Cell lengths 3.0731, 3.0810, 6.9825 Å; angles 63.82, 90.00, 90.00 degrees
Last column: magnetic moment on the atom in μB.
Fractional coordinates of all 4 atoms:
Co (0.0000, 0.9665, 0.0335)  0.38
Co (0.0000, 0.5335, 0.4665)  0.38
Ta (0.5000, 0.2500, 0.2500)  -0.06
Cd (0.5000, 0.7500, 0.7500)  0.00

=====

# 7
Density functional theory data (GGA-PBE) for a relaxed TaTlCd2Co crystal.

Values from the calculation:
calculated density: 7.8 Mg/m³
energy of formation: 9.37 eV/f.u.

Cell lengths 5.1587, 5.3744, 5.1587 Å; angles 90.00, 90.00, 90.00 degrees
Last column: magnetic moment on the atom in μB.
Fractional coordinates of all 5 atoms:
Cd (0.0000, 0.0000, 0.5000)  0.01
Co (0.5000, 0.5000, 0.5000)  2.14
Tl (0.0000, 0.0000, 0.0000)  0.03
Cd (0.5000, 0.0000, 0.0000)  0.01
Ta (0.0000, 0.5000, 0.0000)  -0.36

=====

# 8
Density functional theory data (GGA-PBE) for a relaxed TaZn2CdCo crystal.

Values from the calculation:
calculated density: 8.2 Mg/m³
energy of formation: 7.37 eV/f.u.

Cell lengths 4.5934, 4.6420, 4.5934 Å; angles 90.00, 90.00, 90.00 degrees
Fractional coordinates of all 5 atoms:
Ta (0.5000, 0.5000, 0.5000)
Zn (0.0000, 0.0000, 0.5000)
Zn (0.5000, 0.0000, 0.0000)
Co (0.0000, 0.5000, 0.0000)
Cd (0.0000, 0.0000, 0.0000)

=====

# 9
Density functional theory data (GGA-PBE) for a relaxed Tb4Cd2Co crystal.

Values from the calculation:
calculated density: 7.6 Mg/m³
energy of formation: -0.57 eV/f.u.

Cell lengths 5.0772, 5.0772, 8.6041 Å; angles 107.16, 107.16, 90.00 degrees
Fractional coordinates of all 7 atoms:
Tb (0.1730, 0.1730, 0.3460)
Cd (0.3692, 0.3692, 0.7383)
Co (0.0000, 0.0000, 0.0000)
Tb (0.8270, 0.8270, 0.6540)
Cd (0.6308, 0.6308, 0.2617)
Tb (0.0000, 0.5000, 0.0000)
Tb (0.5000, 0.0000, 0.0000)

=====

# 10
Density functional theory data (GGA-PBE) for a relaxed Tb4Cd3Co crystal.

Values from the calculation:
calculated density: 8.7 Mg/m³
energy of formation: -2.15 eV/f.u.

Cell lengths 3.4553, 3.4553, 16.4313 Å; angles 90.00, 90.00, 90.00 degrees
Last column: magnetic moment on the atom in μB.
Fractional coordinates of all 8 atoms:
Cd (0.5000, 0.5000, 0.7645)  0.00
Co (0.5000, 0.5000, 0.0000)  0.98
Cd (0.5000, 0.5000, 0.5000)  0.01
Tb (0.0000, 0.0000, 0.0991)  -0.12
Tb (0.0000, 0.0000, 0.9009)  -0.12
Cd (0.5000, 0.5000, 0.2355)  0.00
Tb (0.0000, 0.0000, 0.6338)  0.10
Tb (0.0000, 0.0000, 0.3662)  0.10

=====

# 11
Density functional theory data (GGA-PBE) for a relaxed TbCdCo crystal.

Values from the calculation:
calculated density: 8.5 Mg/m³
energy of formation: -0.14 eV/f.u.

Cell lengths 4.5931, 4.5945, 7.5765 Å; angles 107.65, 90.00, 119.99 degrees
Fractional coordinates of all 6 atoms:
Cd (0.5000, 0.0000, 0.5000)
Tb (0.2515, 0.5029, 0.7549)
Co (0.8716, 0.7431, 0.6162)
Cd (0.0000, 0.0000, 0.0000)
Tb (0.7485, 0.4971, 0.2451)
Co (0.1284, 0.2569, 0.3838)

=====

# 12
Density functional theory data (GGA-PBE) for a relaxed Tb5CdCo crystal.

Values from the calculation:
calculated density: 8.4 Mg/m³
energy of formation: -0.34 eV/f.u.

Cell lengths 5.9290, 5.9290, 11.7628 Å; angles 76.42, 76.42, 76.38 degrees
Fractional coordinates of all 14 atoms:
Tb (0.9215, 0.5975, 0.1237)
Tb (0.4500, 0.7964, 0.9337)
Tb (0.2036, 0.5500, 0.5663)
Tb (0.7964, 0.4500, 0.4337)
Tb (0.5975, 0.9215, 0.6237)
Tb (0.4025, 0.0785, 0.3763)
Tb (0.9906, 0.0094, 0.2500)
Co (0.0000, 0.0000, 0.0000)
Cd (0.4049, 0.5951, 0.2500)
Tb (0.5500, 0.2036, 0.0663)
Tb (0.0094, 0.9906, 0.7500)
Tb (0.0785, 0.4025, 0.8763)
Co (0.0000, 0.0000, 0.5000)
Cd (0.5951, 0.4049, 0.7500)